Model a:
Material: BeMoCl
Method: DFT, PBE-GGA
State: optimized geometry

Its spin magnetization is 0.00 μB/f.u.

The space group is Fmm2 (No. 42) and the conventional cell measures 2.801, 5.340 and 12.044 Å, with angles of 90.00, 90.00 and 90.00 degrees. The inequivalent atoms are Be at (0.000, 0.000, 0.000), Mo at (0.000, 0.000, 0.667) and Cl at (0.000, 0.000, 0.369).

=====

Model b:
Material: BeMoCl
Method: DFT, PBE-GGA
State: optimized geometry

Its spin magnetization is 0.00 μB/f.u.

The space group is P-6m2 (No. 187) and the conventional cell measures 4.2667, 4.2667 and 2.7085 Å, with angles of 90.00, 90.00 and 120.00 degrees. The inequivalent atoms are Be at (0.0000, 0.0000, 0.0000), Mo at (0.3333, 0.6667, 0.5000) and Cl at (0.6667, 0.3333, 0.5000).

=====

Model c:
Material: BeMoCl
Method: DFT, PBE-GGA
State: optimized geometry

Its spin magnetization is 0.00 μB/f.u.

The space group is I4mm (No. 107) and the conventional cell measures 2.866, 2.866 and 13.091 Å, with angles of 90.00, 90.00 and 90.00 degrees. The inequivalent atoms are Be at (0.000, 0.000, 0.000), Mo at (0.000, 0.000, 0.392) and Cl at (0.000, 0.000, 0.762).

=====

Which structure is the least stable? The one labeled model b.

=====

Model a:
Material: BeNCl3
Method: DFT, PBE-GGA
State: optimized geometry

Its spin magnetization is 2.08 μB/f.u.

The space group is Pm-3m (No. 221) and the conventional cell measures 4.524, 4.524 and 4.524 Å, with angles of 90.00, 90.00 and 90.00 degrees. The inequivalent atoms are Be at (0.000, 0.000, 0.000), N at (0.500, 0.500, 0.500) and Cl at (0.000, 0.000, 0.500).

=====

Model b:
Material: BeNCl3
Method: DFT, PBE-GGA
State: optimized geometry

Its spin magnetization is 0.00 μB/f.u.

The space group is Pm-3m (No. 221) and the conventional cell measures 4.379, 4.379 and 4.379 Å, with angles of 90.00, 90.00 and 90.00 degrees. The inequivalent atoms are Be at (0.000, 0.000, 0.000), N at (0.500, 0.500, 0.500) and Cl at (0.000, 0.500, 0.500).

=====

Which structure is the least stable? The one labeled model b.

=====

Model a:
Material: BePNCl2
Method: DFT, PBE-GGA
State: optimized geometry

Its spin magnetization is 0.00 μB/f.u.

The space group is P4/mmm (No. 123) and the conventional cell measures 5.635, 5.635 and 3.269 Å, with angles of 90.00, 90.00 and 90.00 degrees. The inequivalent atoms are Be at (0.000, 0.000, 0.000), P at (0.500, 0.500, 0.000), N at (0.500, 0.500, 0.500) and Cl at (0.000, 0.500, 0.500).

=====

Model b:
Material: BePNCl2
Method: DFT, PBE-GGA
State: optimized geometry

Its spin magnetization is 1.71 μB/f.u.

The space group is P4/mmm (No. 123) and the conventional cell measures 4.392, 4.392 and 4.610 Å, with angles of 90.00, 90.00 and 90.00 degrees. The inequivalent atoms are Be at (0.000, 0.000, 0.000), P at (0.000, 0.000, 0.500), N at (0.500, 0.500, 0.500) and Cl at (0.000, 0.500, 0.000).

=====

Which structure is the least stable? The one labeled model a.

=====

Model a:
Material: BeS2NCl
Method: DFT, PBE-GGA
State: optimized geometry

Its spin magnetization is 0.00 μB/f.u.

The space group is P4/mmm (No. 123) and the conventional cell measures 4.129, 4.129 and 4.207 Å, with angles of 90.00, 90.00 and 90.00 degrees. The inequivalent atoms are Be at (0.000, 0.000, 0.000), S at (0.000, 0.500, 0.500), N at (0.500, 0.500, 0.500) and Cl at (0.500, 0.500, 0.000).

=====

Model b:
Material: BeS2NCl
Method: DFT, PBE-GGA
State: optimized geometry

Its spin magnetization is 0.00 μB/f.u.

The space group is P4/mmm (No. 123) and the conventional cell measures 4.840, 4.840 and 3.116 Å, with angles of 90.00, 90.00 and 90.00 degrees. The inequivalent atoms are Be at (0.000, 0.000, 0.000), S at (0.000, 0.500, 0.000), N at (0.000, 0.000, 0.500) and Cl at (0.500, 0.500, 0.500).

=====

Model c:
Material: BeS2NCl
Method: DFT, PBE-GGA
State: optimized geometry

Its spin magnetization is 0.56 μB/f.u.

The space group is P4/mmm (No. 123) and the conventional cell measures 4.406, 4.406 and 4.520 Å, with angles of 90.00, 90.00 and 90.00 degrees. The inequivalent atoms are Be at (0.000, 0.000, 0.000), S at (0.000, 0.500, 0.000), N at (0.500, 0.500, 0.500) and Cl at (0.000, 0.000, 0.500).

=====

Which structure is the least stable? The one labeled model a.

=====

Model a:
Material: BeS2NCl
Method: DFT, PBE-GGA
State: optimized geometry

Its spin magnetization is 0.00 μB/f.u.

The space group is P4/mmm (No. 123) and the conventional cell measures 4.881, 4.881 and 3.113 Å, with angles of 90.00, 90.00 and 90.00 degrees. The inequivalent atoms are Be at (0.000, 0.000, 0.000), S at (0.000, 0.500, 0.500), N at (0.000, 0.000, 0.500) and Cl at (0.500, 0.500, 0.000).

=====

Model b:
Material: BeS2NCl
Method: DFT, PBE-GGA
State: optimized geometry

Its spin magnetization is 0.00 μB/f.u.

The space group is P4/mmm (No. 123) and the conventional cell measures 4.774, 4.774 and 3.410 Å, with angles of 90.00, 90.00 and 90.00 degrees. The inequivalent atoms are Be at (0.000, 0.000, 0.000), S at (0.000, 0.500, 0.500), N at (0.500, 0.500, 0.000) and Cl at (0.500, 0.500, 0.500).

=====

Which structure is the least stable? The one labeled model b.

=====

Model a:
Material: BeSNCl2
Method: DFT, PBE-GGA
State: optimized geometry

Its spin magnetization is 1.08 μB/f.u.

The space group is P4/mmm (No. 123) and the conventional cell measures 4.401, 4.401 and 4.763 Å, with angles of 90.00, 90.00 and 90.00 degrees. The inequivalent atoms are Be at (0.000, 0.000, 0.000), S at (0.000, 0.000, 0.500), N at (0.500, 0.500, 0.500) and Cl at (0.000, 0.500, 0.000).

=====

Model b:
Material: BeSNCl2
Method: DFT, PBE-GGA
State: optimized geometry

Its spin magnetization is 0.00 μB/f.u.

The space group is P4/mmm (No. 123) and the conventional cell measures 4.170, 4.170 and 4.475 Å, with angles of 90.00, 90.00 and 90.00 degrees. The inequivalent atoms are Be at (0.000, 0.000, 0.000), S at (0.500, 0.500, 0.000), N at (0.500, 0.500, 0.500) and Cl at (0.000, 0.500, 0.500).

=====

Which structure is the least stable? The one labeled model b.

=====

Model a:
Material: BeSeN2Cl
Method: DFT, PBE-GGA
State: optimized geometry

Its spin magnetization is 2.27 μB/f.u.

The space group is P4/mmm (No. 123) and the conventional cell measures 3.525, 3.525 and 6.257 Å, with angles of 90.00, 90.00 and 90.00 degrees. The inequivalent atoms are Be at (0.000, 0.000, 0.000), Se at (0.000, 0.000, 0.500), N at (0.000, 0.500, 0.000) and Cl at (0.500, 0.500, 0.500).

=====

Model b:
Material: BeSeN2Cl
Method: DFT, PBE-GGA
State: optimized geometry

Its spin magnetization is 0.26 μB/f.u.

The space group is P4/mmm (No. 123) and the conventional cell measures 3.455, 3.455 and 7.604 Å, with angles of 90.00, 90.00 and 90.00 degrees. The inequivalent atoms are Be at (0.000, 0.000, 0.000), Se at (0.500, 0.500, 0.000), N at (0.000, 0.500, 0.500) and Cl at (0.500, 0.500, 0.500).

=====

Which structure is the least stable? The one labeled model b.

=====

Model a:
Material: NaBeCl2
Method: DFT, PBE-GGA
State: optimized geometry

Its spin magnetization is 0.96 μB/f.u.

The space group is R-3m (No. 166, hexagonal axes) and the conventional cell measures 3.9142, 3.9142 and 21.4681 Å, with angles of 90.00, 90.00 and 120.00 degrees. The inequivalent atoms are Na at (0.0000, 0.0000, 0.0000), Be at (0.0000, 0.0000, 0.5000) and Cl at (0.0000, 0.0000, 0.4078).

=====

Model b:
Material: NaBeCl2
Method: DFT, PBE-GGA
State: optimized geometry

Its spin magnetization is 0.00 μB/f.u.

The space group is I-42d (No. 122) and the conventional cell measures 6.532, 6.532 and 9.452 Å, with angles of 90.00, 90.00 and 90.00 degrees. The inequivalent atoms are Na at (0.000, 0.000, 0.000), Be at (0.000, 0.000, 0.500) and Cl at (0.097, 0.250, 0.625).

=====

Model c:
Material: NaBeCl2
Method: DFT, PBE-GGA
State: optimized geometry

Its spin magnetization is 0.95 μB/f.u.

The space group is Fm-3m (No. 225) and the conventional cell measures 6.811, 6.811 and 6.811 Å, with angles of 90.00, 90.00 and 90.00 degrees. The inequivalent atoms are Na at (0.000, 0.000, 0.000), Be at (0.000, 0.000, 0.500) and Cl at (0.250, 0.250, 0.250).

=====

Which structure is the least stable? The one labeled model c.